Crystalline WS2NO at its relaxed geometry. Source: Alexandria, functional PBE+U.

Unit cell a=4.104 b=3.718 c=4.104 alpha=90.00 beta=90.00 gamma=90.00
Fractional coordinates of all 5 atoms:
S 0.000 0.000 0.500
S 0.500 0.000 0.000
O 0.000 0.500 0.000
W 0.500 0.500 0.500
N 0.000 0.000 0.000

Calculated values
Space-group type: P4/mmm (123)
Magnetic moment (μB per cell): 2.7
VASP energy (eV per formula unit): -23.5
Volume (Å³/cell): 62.6